Record 1
Below is crystalline Pr4Si2O at its relaxed geometry, with properties calculated at the PBE level.

Cell: 6.8997 6.8620 8.5029 Å, 90.00 107.96 90.00°
Sites, in units of the cell vectors:
Pr: 0.9235 0.2500 0.0902
Pr: 0.0765 0.7500 0.9098
Si: 0.2779 0.2500 0.9479
Pr: 0.4966 0.4982 0.2577
Pr: 0.0576 0.7500 0.3719
Si: 0.2529 0.2500 0.4372
Pr: 0.9424 0.2500 0.6281
Pr: 0.5034 0.9982 0.7423
O: 0.7334 0.2500 0.8080
O: 0.2666 0.7500 0.1920
Pr: 0.5034 0.5018 0.7423
Si: 0.7471 0.7500 0.5628
Si: 0.7221 0.7500 0.0521
Pr: 0.4966 0.0018 0.2577

Calculated values
Its theoretical density is 5.51 g/cm3. Its density of states at the Fermi level is 0.74 states/eV per atom. As for the energy relative to the elements, uncorrected: -1.11 eV per atom. The value obtained for the total magnetization is 0.000 μB/atom.


Record 2
Below is crystalline AcNdH at its relaxed geometry, with properties calculated at the PBE level.

Cell: 6.1615 3.8844 3.8844 Å, 120.00 90.00 90.00°
Sites, in units of the cell vectors:
Ac: 0.5832 0.6667 0.3333
H: 0.3143 0.3333 0.6667
Nd: 0.1025 0.0000 0.0000

Calculated values
Its theoretical density is 7.68 g/cm3. Its density of states at the Fermi level is 1.21 states/eV per atom. Its distance to the lowest polymorph of the same formula is 0 meV/atom. The value obtained for the total magnetization is 0.000 μB/atom.